Rb2La4Cu4Te9 | the Open Quantum Materials Database | PBE | optimized geometry; VASP energy = -84.80 eV for the cell shown; mass density = 5.74 g/cm³
1.0
1.5211 7.8314 -1.8460
-1.9731 6.5920 -4.4391
-10.8150 -0.1710 14.6550
Cu La Rb Te
4 4 2 9
direct
0.7412 0.7412 0.2312
0.0779 0.0779 0.4796
0.9221 0.9221 0.5204
0.2588 0.2588 0.7688
0.1561 0.1561 0.0553
0.2686 0.2686 0.3983
0.7314 0.7314 0.6017
0.8439 0.8439 0.9447
0.4698 0.4698 0.2295
0.5302 0.5302 0.7705
0.5000 0.5000 0.0000
0.8058 0.8058 0.1102
0.1488 0.1488 0.2247
0.8985 0.8985 0.3689
0.6268 0.6268 0.4230
0.3732 0.3732 0.5770
0.1015 0.1015 0.6311
0.8512 0.8512 0.7753
0.1942 0.1942 0.8898